First-principles (PBEsol) data for crystalline K2NaF2 at its relaxed geometry, as listed in the Alexandria database.

Properties
N(E_F) ... 0.21 states/eV/atom
SG ... I4/mmm
E ... -3.426 eV/atom
Formation energy (no corrections) ... -9.6 eV/f.u.

```
K2NaF2
1.0
-1.306 0.894 4.545
1.876 -4.216 1.368
5.647 4.662 -1.842
Na F K
1 2 2
Cartesian
0.000 0.000 0.000
3.904 -0.607 1.241
2.313 1.948 2.830
2.594 -0.493 3.390
3.623 1.833 0.681
```

First-principles (PBEsol) data for crystalline K2NaNdF6 at its relaxed geometry, as listed in the Alexandria database.

Properties
N(E_F) ... 0.00 states/eV/atom
SG ... Fm-3m
E ... -5.260 eV/atom
Formation energy (no corrections) ... -32.2 eV/f.u.

```
K2NaNdF6
1.0
-5.547 -0.394 -2.997
-4.797 -3.152 2.636
-5.013 3.146 2.207
F Na K Nd
6 1 2 1
Cartesian
-8.741 -0.104 2.877
-6.616 -0.297 -1.030
-6.243 -1.672 1.777
-6.350 1.467 1.563
-9.007 -1.868 0.284
-9.114 1.271 0.070
-7.678 -0.200 0.924
-3.839 -0.100 0.462
-11.518 -0.300 1.385
0.000 0.000 0.000
```

First-principles (PBEsol) data for crystalline K2NaNiF6 at its relaxed geometry, as listed in the Alexandria database.

Properties
N(E_F) ... 0.53 states/eV/atom
SG ... Fm-3m
E ... -4.538 eV/atom
Formation energy (no corrections) ... -24.0 eV/f.u.

```
K2NaNiF6
1.0
5.765 0.000 0.000
2.883 4.993 0.000
2.883 1.664 4.707
F Na Ni K
6 1 1 2
Cartesian
4.205 2.428 3.628
5.765 1.527 1.079
7.326 4.230 1.079
5.765 5.131 3.628
7.326 2.428 3.628
4.205 4.230 1.079
5.765 3.329 2.354
0.000 0.000 0.000
2.883 1.664 1.177
8.648 4.993 3.531
```

First-principles (PBEsol) data for crystalline K2NaPrF6 at its relaxed geometry, as listed in the Alexandria database.

Properties
N(E_F) ... 0.00 states/eV/atom
SG ... Fm-3m
E ... -5.242 eV/atom
Formation energy (no corrections) ... -32.0 eV/f.u.

```
K2NaPrF6
1.0
-0.350 6.086 1.770
-3.751 1.688 4.834
2.559 1.857 5.504
F K Pr Na
6 2 1 1
Cartesian
0.881 3.347 5.781
-0.980 4.185 8.181
-2.424 6.284 6.327
0.708 6.367 6.660
-0.562 5.446 3.928
-2.250 3.263 5.449
-0.386 2.408 3.027
-1.157 7.223 9.081
0.000 0.000 0.000
-0.771 4.815 6.054
```

First-principles (PBEsol) data for crystalline KNaSiF6 at its relaxed geometry, as listed in the Alexandria database.

Properties
N(E_F) ... 0.00 states/eV/atom
SG ... Pnma
E ... -5.360 eV/atom
Formation energy (no corrections) ... -28.4 eV/f.u.

```
KNaSiF6
1.0
-3.424 2.222 3.562
-1.570 -8.422 3.744
7.304 1.378 6.161
Si F Na K
4 24 4 4
Cartesian
5.520 -0.108 7.432
2.218 -4.794 7.182
-3.209 -4.715 6.035
0.092 -0.029 6.285
-0.569 -2.684 1.343
4.412 -3.134 10.530
2.902 -4.524 11.790
3.688 -4.333 6.465
2.232 -6.219 6.240
-3.590 -4.970 7.671
2.879 -2.139 12.124
-2.042 -3.548 6.430
0.912 -0.836 7.578
5.900 0.147 5.796
-2.058 -5.964 6.078
-1.378 -0.490 7.003
2.157 -3.340 8.058
1.610 0.401 5.633
-0.592 -0.299 1.677
4.352 -1.275 7.038
0.153 -1.484 5.409
4.368 1.141 7.389
-2.102 -1.690 2.937
1.398 -3.987 5.890
3.020 -5.589 8.449
-0.710 0.766 5.019
0.078 1.396 7.227
0.700 -5.224 7.834
2.590 -1.848 5.702
-2.379 0.692 3.461
-0.280 -2.976 7.766
4.689 -5.515 10.006
1.494 0.842 2.971
-0.399 -3.578 3.908
2.710 -1.245 9.560
0.816 -5.665 10.497
```

First-principles (PBEsol) data for crystalline K2NaTiF6 at its relaxed geometry, as listed in the Alexandria database.

Properties
N(E_F) ... 0.85 states/eV/atom
SG ... Fm-3m
E ... -5.418 eV/atom
Formation energy (no corrections) ... -30.6 eV/f.u.

```
K2NaTiF6
1.0
-2.341 5.177 -1.634
-2.721 0.496 -5.225
-5.871 0.650 -0.225
F Ti Na K
6 1 1 2
Cartesian
-6.922 4.574 -2.650
-4.011 1.748 -4.434
-5.681 1.830 -1.784
-3.810 4.229 -2.531
-5.252 4.492 -5.300
-7.124 2.092 -4.553
0.000 0.000 0.000
-5.467 3.161 -3.542
-8.200 4.741 -5.313
-2.733 1.580 -1.771
```

First-principles (PBEsol) data for crystalline K2NaTlF6 at its relaxed geometry, as listed in the Alexandria database.

Properties
N(E_F) ... 0.00 states/eV/atom
SG ... Fm-3m
E ... -4.224 eV/atom
Formation energy (no corrections) ... -24.4 eV/f.u.

```
K2NaTlF6
1.0
6.166 0.000 0.000
3.083 5.340 0.000
3.083 1.780 5.034
K F Na Tl
2 6 1 1
Cartesian
3.083 1.780 1.259
9.249 5.340 3.776
6.166 5.359 3.790
6.166 1.760 1.245
7.724 4.460 1.245
4.607 2.660 3.790
7.724 2.660 3.790
4.607 4.460 1.245
6.166 3.560 2.517
0.000 0.000 0.000
```

First-principles (PBEsol) data for crystalline K2NaVF6 at its relaxed geometry, as listed in the Alexandria database.

Properties
N(E_F) ... 1.06 states/eV/atom
SG ... Fm-3m
E ... -5.383 eV/atom
Formation energy (no corrections) ... -29.0 eV/f.u.

```
K2NaVF6
1.0
5.863 0.000 0.000
2.931 5.077 0.000
2.931 1.692 4.787
K F Na V
2 6 1 1
Cartesian
8.794 5.077 3.590
2.931 1.692 1.197
7.429 2.481 3.672
7.429 4.289 1.115
5.863 1.577 1.115
4.297 4.289 1.115
4.297 2.481 3.672
5.863 5.193 3.672
5.863 3.385 2.394
0.000 0.000 0.000
```

First-principles (PBEsol) data for crystalline KNb4O5F at its relaxed geometry, as listed in the Alexandria database.

Properties
N(E_F) ... 0.25 states/eV/atom
SG ... P4/mmm
E ... -8.893 eV/atom
Formation energy (no corrections) ... -25.2 eV/f.u.

```
KNb4O5F
1.0
-1.344 3.772 1.171
-3.946 -1.335 -0.229
0.338 -2.373 8.033
Nb F O K
4 1 5 1
Cartesian
-1.973 -0.668 -0.114
-0.672 1.886 0.585
-2.387 -0.590 6.591
-2.564 0.653 2.384
-2.476 0.032 4.487
0.000 0.000 0.000
-0.587 1.290 2.601
-1.888 -1.263 1.902
-0.419 0.108 6.602
-1.720 -2.445 5.902
0.169 -1.187 4.016
```

First-principles (PBEsol) data for crystalline K5Nb4O12F at its relaxed geometry, as listed in the Alexandria database.

Properties
N(E_F) ... 0.00 states/eV/atom
SG ... P2_1/c
E ... -7.640 eV/atom
Formation energy (no corrections) ... -54.2 eV/f.u.

```
K5Nb4O12F
1.0
-4.686 -1.305 1.548
0.419 -9.668 -6.881
5.252 -6.050 8.819
K Nb O F
10 8 24 2
Cartesian
-0.754 -8.699 4.927
2.109 -14.008 2.315
3.406 -10.466 1.234
-1.494 -9.688 -3.537
0.000 0.000 0.000
2.479 -7.335 7.023
-2.420 -6.557 2.253
0.493 -8.511 1.743
1.739 -8.324 -1.441
-1.124 -3.015 1.171
2.241 -10.804 4.827
2.158 -11.730 -3.634
-1.172 -5.292 7.120
-1.256 -6.219 -1.341
5.205 -12.189 4.253
0.325 -11.872 -0.845
-4.220 -4.834 -0.766
0.660 -5.151 4.332
-3.050 -2.686 3.132
-1.044 -4.158 4.948
2.109 -9.462 3.633
-0.296 -2.209 -1.353
0.970 -10.491 0.115
0.015 -6.532 3.372
1.281 -14.814 4.839
-1.124 -7.561 -0.146
-2.363 -4.879 -0.219
0.974 -3.870 2.844
-1.546 -11.477 -1.144
4.101 -10.581 5.700
0.410 -5.937 6.238
2.029 -12.865 -1.462
0.575 -11.086 -2.751
-3.116 -6.442 -2.214
2.532 -5.546 4.630
1.358 -9.879 6.369
-0.373 -7.144 -2.882
0.250 -5.085 -0.957
0.011 -13.153 0.642
3.348 -12.144 3.705
4.035 -14.337 0.355
0.735 -11.938 4.444
2.835 -7.859 0.969
-2.343 -0.653 0.774
```

First-principles (PBEsol) data for crystalline KSrNb2O6F at its relaxed geometry, as listed in the Alexandria database.

Properties
N(E_F) ... 0.00 states/eV/atom
SG ... Immm
E ... -8.065 eV/atom
Formation energy (no corrections) ... -30.7 eV/f.u.

```
KSrNb2O6F
1.0
-0.643 3.296 1.942
-7.577 -0.741 -1.250
3.111 -7.061 9.136
Nb O K F Sr
4 12 2 2 2
Cartesian
0.818 -2.709 8.741
-5.926 -1.797 1.088
-3.030 -3.085 8.106
-2.078 -1.421 1.723
-1.134 -3.057 8.685
1.173 -1.768 7.262
-3.975 -1.449 1.144
-0.154 -0.893 1.464
-2.366 0.492 2.255
-4.954 -3.613 8.364
-6.281 -2.738 2.567
-3.067 -2.183 6.562
1.081 -4.624 8.204
-2.743 -4.998 7.574
-2.041 -2.323 3.267
-6.189 0.119 1.624
-4.315 -3.420 4.375
-0.793 -1.086 5.454
-2.087 -0.204 -0.344
-5.489 -0.537 -0.905
-4.110 1.277 0.346
-0.321 1.648 0.971
```